This record from the Alexandria database describes VPO5 after structural relaxation. The functional is PBE with a Hubbard U.

Values from the calculation:
The energy comes out at -206.64 eV/cell. The calculation puts the density of states at the Fermi level at 0.00 states/eV/atom.

Cell: 7.800 6.238 7.251 Å, 90.00 90.00 90.00°
Atoms (fractional coordinates):
V  0.174  0.250  0.227
V  0.326  0.750  0.727
V  0.674  0.250  0.273
V  0.826  0.750  0.773
P  0.122  0.750  0.112
P  0.378  0.250  0.612
P  0.622  0.750  0.388
P  0.878  0.250  0.888
O  0.046  0.250  0.999
O  0.130  0.552  0.239
O  0.130  0.948  0.239
O  0.132  0.750  0.650
O  0.219  0.250  0.481
O  0.281  0.750  0.981
O  0.368  0.250  0.150
O  0.370  0.052  0.739
O  0.370  0.448  0.739
O  0.454  0.750  0.499
O  0.546  0.250  0.501
O  0.630  0.552  0.261
O  0.630  0.948  0.261
O  0.632  0.750  0.850
O  0.719  0.250  0.019
O  0.781  0.750  0.519
O  0.868  0.250  0.350
O  0.870  0.052  0.761
O  0.870  0.448  0.761
O  0.954  0.750  0.001